(1)
The following is a PBE-GGA calculation of a relaxed structure of YZr2P2, from Alexandria.

Computed properties:
SG ... I4/mmm

Geometry as POSCAR:
```
YZr2P2
1.0
4.9159 0.0000 0.0000
0.0000 4.9159 0.0000
2.4580 2.4580 4.5635
P Y Zr
2 1 2
Cartesian
2.4580 4.9159 2.2818
4.9159 2.4580 2.2818
0.0000 0.0000 0.0000
2.4580 2.4580 1.4594
4.9159 4.9159 3.1041
```



(2)
The following is a PBE-GGA calculation of a relaxed structure of YZrP2, from Alexandria.

Computed properties:
SG ... F-43m

Geometry as POSCAR:
```
YZrP2
1.0
4.7366 0.0000 0.0000
2.3683 4.1020 0.0000
2.3683 1.3673 3.8674
Zr P Y
1 2 1
Cartesian
7.1049 4.1020 2.9006
0.0000 0.0000 0.0000
2.3683 1.3673 0.9669
4.7366 2.7347 1.9337
```



ΔE_f: -0.718 -0.068 (eV per atom)
V: 22.06 18.79 (Å³/atom)
Energy above the lowest structure with this stoichiometry: 420 1418 (meV/atom)